# Ce2InHg6 (PBE, optimized geometry)
# * DFT formation energy: -0.248 eV per atom
# * crystal system: monoclinic
# * relative energy among the computed polymorphs: 0.00 kcal/mol of atoms
data_Ce2InHg6
_cell_length_a 6.1350
_cell_length_b 6.1350
_cell_length_c 6.1379
_cell_angle_alpha 92.75
_cell_angle_beta 92.75
_cell_angle_gamma 92.92
_symmetry_space_group_name_H-M 'P 1'
_symmetry_Int_Tables_number 1
loop_
_symmetry_equiv_pos_as_xyz
'x,y,z'
loop_
_atom_site_label
_atom_site_fract_x
_atom_site_fract_y
_atom_site_fract_z
Ce1 0.1694 0.1694 0.1706
Ce2 0.8306 0.8306 0.8294
In1 0.5000 0.5000 0.5000
Hg1 0.0004 0.3340 0.6664
Hg2 0.9996 0.6660 0.3336
Hg3 0.3340 0.0004 0.6664
Hg4 0.3335 0.6665 0.0000
Hg5 0.6660 0.9996 0.3336
Hg6 0.6665 0.3335 0.0000